DFT (PBE) results for Tm2BeO after structural relaxation.

abc: 3.345 3.345 8.489
angles: 78.64 78.64 60.00
Element x y z (fractional)
Tm1 0.113 0.113 0.662
Tm2 0.887 0.887 0.338
Be1 0.000 0.000 0.000
O1 0.500 0.500 0.500

As for the volume: 20.0 Å³/atom. For the uncorrected formation energy, the calculation gives -687 meV per atom.

=====

DFT (PBE) results for LuAl10Re2 after structural relaxation.

abc: 6.942 6.942 26.880
angles: 90.00 90.00 95.86
Element x y z (fractional)
Re1 0.000 0.500 0.000
Re2 0.500 0.000 0.500
Re3 0.255 0.249 0.337
Re4 0.000 0.500 0.500
Re5 0.751 0.745 0.163
Re6 0.249 0.255 0.837
Re7 0.255 0.249 0.163
Re8 0.745 0.751 0.837
Re9 0.751 0.745 0.337
Re10 0.745 0.751 0.663
Re11 0.249 0.255 0.663
Re12 0.500 0.000 0.000
Al1 0.228 0.470 0.581
Al2 0.203 0.203 0.000
Al3 0.123 0.381 0.083
Al4 0.598 0.402 0.866
Al5 0.402 0.598 0.134
Al6 0.963 0.739 0.750
Al7 0.165 0.835 0.966
Al8 0.378 0.622 0.478
Al9 0.967 0.472 0.672
Al10 0.203 0.203 0.500
Al11 0.402 0.598 0.366
Al12 0.907 0.093 0.700
Al13 0.033 0.528 0.172
Al14 0.370 0.630 0.678
Al15 0.875 0.125 0.145
Al16 0.528 0.033 0.828
Al17 0.772 0.530 0.081
Al18 0.381 0.123 0.583
Al19 0.797 0.797 0.000
Al20 0.470 0.228 0.419
Al21 0.123 0.381 0.417
Al22 0.228 0.470 0.919
Al23 0.381 0.123 0.917
Al24 0.739 0.963 0.250
Al25 0.622 0.378 0.522
Al26 0.472 0.967 0.172
Al27 0.404 0.182 0.250
Al28 0.877 0.619 0.917
Al29 0.619 0.877 0.417
Al30 0.967 0.472 0.828
Al31 0.907 0.093 0.800
Al32 0.630 0.370 0.322
Al33 0.125 0.875 0.645
Al34 0.877 0.619 0.583
Al35 0.530 0.772 0.581
Al36 0.037 0.261 0.250
Al37 0.772 0.530 0.419
Al38 0.596 0.818 0.750
Al39 0.125 0.875 0.855
Al40 0.835 0.165 0.466
Al41 0.472 0.967 0.328
Al42 0.818 0.596 0.250
Al43 0.093 0.907 0.200
Al44 0.619 0.877 0.083
Al45 0.165 0.835 0.534
Al46 0.370 0.630 0.822
Al47 0.797 0.797 0.500
Al48 0.378 0.622 0.022
Al49 0.528 0.033 0.672
Al50 0.093 0.907 0.300
Al51 0.835 0.165 0.034
Al52 0.261 0.037 0.750
Al53 0.033 0.528 0.328
Al54 0.182 0.404 0.750
Al55 0.530 0.772 0.919
Al56 0.598 0.402 0.634
Al57 0.470 0.228 0.081
Al58 0.622 0.378 0.978
Al59 0.875 0.125 0.355
Al60 0.630 0.370 0.178
Lu1 0.383 0.617 0.250
Lu2 0.617 0.383 0.750
Lu3 0.125 0.875 0.085
Lu4 0.125 0.875 0.415
Lu5 0.875 0.125 0.585
Lu6 0.875 0.125 0.915

As for the energy of formation from the pure elements: -0.34 eV/atom. As for the volume: 16.5 Å³/atom.

=====

DFT (PBE) results for Li3Ca2Cd after structural relaxation.

abc: 3.795 5.011 8.738
angles: 90.00 90.00 90.00
Element x y z (fractional)
Cd1 0.500 0.500 0.335
Li1 0.500 0.000 0.169
Li2 0.500 0.500 0.664
Li3 0.500 0.000 0.832
Ca1 0.000 0.500 0.016
Ca2 0.000 0.000 0.485

As for the energy of formation from the pure elements: -0.08 eV/atom. As for the volume: 27.7 Å³/atom. For the energy above the lowest structure with this stoichiometry, the calculation gives 0.0647 eV/atom.

=====

DFT (PBE) results for NaBi2Pd3 after structural relaxation.

abc: 3.892 8.391 9.669
angles: 120.78 90.00 103.41
Element x y z (fractional)
Pd1 0.077 0.154 0.461
Pd2 0.431 0.862 0.327
Pd3 0.569 0.138 0.673
Pd4 0.253 0.506 0.386
Pd5 0.747 0.494 0.614
Pd6 0.923 0.846 0.539
Bi1 0.215 0.429 0.798
Bi2 0.785 0.571 0.202
Bi3 0.403 0.807 0.725
Bi4 0.597 0.193 0.275
Na1 0.908 0.815 0.035
Na2 0.092 0.185 0.965

As for the energy of formation from the pure elements: -0.28 eV/atom. As for the volume: 21.8 Å³/atom.

=====

DFT (PBE) results for V2SeI after structural relaxation.

abc: 4.623 4.623 4.623
angles: 60.00 60.00 60.00
Last column: magnetic moment on the atom in μB.
Element x y z (fractional)
I1 0.500 0.500 0.500  -0.06
V1 0.750 0.750 0.750  1.42
V2 0.250 0.250 0.250  1.42
Se1 0.000 0.000 0.000  -0.10

As for the volume: 17.5 Å³/atom. For the energy above the lowest structure with this stoichiometry, the calculation gives 0.1531 eV/atom. For the uncorrected formation energy, the calculation gives 275 meV per atom.

=====

DFT (PBE) results for Cs2LiPt after structural relaxation.

abc: 9.616 9.616 9.616
angles: 93.66 93.66 150.74
Element x y z (fractional)
Cs1 0.191 0.375 0.316
Cs2 0.059 0.875 0.684
Cs3 0.625 0.941 0.816
Cs4 0.125 0.809 0.184
Pt1 0.000 0.000 0.000
Pt2 0.250 0.750 0.500
Li1 0.750 0.250 0.500
Li2 0.500 0.500 0.000

As for the energy of formation from the pure elements: 0.00 eV/atom. As for the volume: 52.6 Å³/atom.

=====

DFT (PBE) results for Nd3Sm4Tm2 after structural relaxation.

abc: 5.115 8.067 8.092
angles: 107.58 108.43 90.00
Element x y z (fractional)
Sm1 0.778 0.670 0.556
Sm2 0.556 0.331 0.111
Sm3 0.222 0.330 0.444
Sm4 0.444 0.669 0.889
Nd1 0.000 0.000 0.000
Nd2 0.112 0.667 0.224
Nd3 0.888 0.333 0.776
Tm1 0.668 0.000 0.336
Tm2 0.332 0.000 0.664

As for the energy of formation from the pure elements: 0.02 eV/atom. As for the volume: 33.4 Å³/atom. For the energy above the lowest structure with this stoichiometry, the calculation gives 0.0033 eV/atom.

=====

DFT (PBE) results for Cs2BaIrF6 after structural relaxation.

abc: 6.835 6.835 6.689
angles: 59.28 59.28 90.00
Last column: magnetic moment on the atom in μB.
Element x y z (fractional)
F1 0.223 0.223 0.554  0.00
F2 0.777 0.777 0.446  0.00
F3 0.236 0.764 0.000  0.03
F4 0.764 0.764 0.000  0.03
F5 0.236 0.236 0.000  0.03
F6 0.764 0.236 0.000  0.03
Cs1 0.250 0.750 0.500  0.00
Cs2 0.750 0.250 0.500  0.00
Ba1 0.500 0.500 0.000  0.01
Ir1 0.000 0.000 0.000  0.83

As for the volume: 21.6 Å³/atom. For the uncorrected formation energy, the calculation gives -2361 meV per atom.

=====

DFT (PBE) results for ReMo3 after structural relaxation.

abc: 4.449 4.454 7.063
angles: 108.38 108.36 90.00
Element x y z (fractional)
Mo1 0.185 0.935 0.370
Mo2 0.685 0.435 0.371
Mo3 0.936 0.686 0.871
Mo4 0.315 0.565 0.629
Mo5 0.815 0.065 0.630
Mo6 0.064 0.314 0.129
Re1 0.566 0.816 0.132
Re2 0.434 0.184 0.868

As for the energy of formation from the pure elements: 0.04 eV/atom. As for the volume: 15.7 Å³/atom.

=====

DFT (PBE) results for BaSn after structural relaxation.

abc: 4.848 17.550 16.233
angles: 90.00 90.00 90.00
Element x y z (fractional)
Ba1 0.750 0.885 0.250
Ba2 0.500 0.635 0.500
Ba3 0.750 0.615 0.250
Ba4 0.750 0.115 0.750
Ba5 0.250 0.115 0.250
Ba6 0.000 0.865 0.500
Ba7 0.500 0.365 0.500
Ba8 0.250 0.385 0.250
Ba9 0.000 0.635 0.000
Ba10 0.750 0.385 0.750
Ba11 0.500 0.135 0.000
Ba12 0.000 0.365 0.000
Ba13 0.000 0.135 0.500
Ba14 0.500 0.865 0.000
Ba15 0.250 0.615 0.750
Ba16 0.250 0.885 0.750
Sn1 0.500 0.500 0.913
Sn2 0.500 0.500 0.087
Sn3 0.000 0.500 0.587
Sn4 0.500 0.000 0.587
Sn5 0.750 0.750 0.663
Sn6 0.000 0.500 0.413
Sn7 0.500 0.000 0.413
Sn8 0.000 0.000 0.087
Sn9 0.750 0.250 0.163
Sn10 0.750 0.250 0.337
Sn11 0.250 0.750 0.163
Sn12 0.250 0.750 0.337
Sn13 0.250 0.250 0.663
Sn14 0.000 0.000 0.913
Sn15 0.250 0.250 0.837
Sn16 0.750 0.750 0.837

As for the energy of formation from the pure elements: -0.54 eV/atom. As for the volume: 43.2 Å³/atom.

=====

DFT (PBE) results for RbNaSr2Ni after structural relaxation.

abc: 5.862 5.862 6.336
angles: 90.00 90.00 90.00
Element x y z (fractional)
Rb1 0.500 0.500 0.500
Na1 0.000 0.000 0.500
Sr1 0.500 0.000 0.000
Sr2 0.000 0.500 0.000
Ni1 0.000 0.000 0.000

As for the energy of formation from the pure elements: 0.16 eV/atom. As for the volume: 43.5 Å³/atom.

=====

DFT (PBE) results for LiNdCd3Ag after structural relaxation.

abc: 6.123 6.446 7.641
angles: 114.95 90.00 90.00
Element x y z (fractional)
Ag1 0.250 0.345 0.690
Ag2 0.750 0.655 0.310
Nd1 0.250 0.698 0.396
Nd2 0.750 0.302 0.604
Li1 0.250 0.911 0.823
Li2 0.750 0.089 0.177
Cd1 0.750 0.861 0.722
Cd2 0.000 0.721 0.000
Cd3 0.000 0.279 0.000
Cd4 0.500 0.721 0.000
Cd5 0.250 0.139 0.278
Cd6 0.500 0.279 0.000

As for the energy of formation from the pure elements: -0.13 eV/atom. As for the volume: 22.8 Å³/atom.

=====

Q: Number 5 is which compound?
A: V2SeI